Below is an optimized crystal structure of La2Re3B7, with properties calculated at the PBE-GGA level.

Unit cell a=7.6793 b=6.7938 c=11.6665 alpha=90.00 beta=90.00 gamma=90.00
Last column: nearest neighbours and their distance in Å.
Space group Pcca (No. 54)
Unique sites:
La 0.1768 0.2364 0.1776 (multiplicity 8)  8 B 2.77-3.01
Re 0.0913 0.3952 0.9197 (multiplicity 8)  6 B 2.11-2.29
Re 0.2500 0.0000 0.4316 (multiplicity 4)  8 B 2.21-2.31
B 0.0000 0.3667 0.7500 (multiplicity 4)  2 B 1.86
B 0.0334 0.1038 0.5411 (multiplicity 8)  3 B 1.75-1.79
B 0.0399 0.1225 0.8169 (multiplicity 8)  3 B 1.68-1.86
B 0.1292 0.3016 0.4616 (multiplicity 8)  1 B 1.79

* energy: -8.287 eV per atom
* ρ: 10.0 Mg/m³